GdZrTcPt | PBE-GGA | optimized geometry

Geometry as CIF:
```
data_GdZrTcPt
_space_group_name_H-M_alt 'F -4 3 m'
_space_group_IT_number 216
_space_group_name_Hall 'F -4 2 3'
_cell_length_a 6.790
_cell_length_b 6.790
_cell_length_c 6.790
_cell_angle_alpha 90.00
_cell_angle_beta 90.00
_cell_angle_gamma 90.00
loop_
_atom_site_label
_atom_site_type_symbol
_atom_site_fract_x
_atom_site_fract_y
_atom_site_fract_z
Gd1 Gd 0.000 0.000 0.000
Zr1 Zr 0.000 0.000 0.500
Tc1 Tc 0.250 0.250 0.750
Pt1 Pt 0.250 0.250 0.250
```

Properties
ΔE_f = -556 meV/atom
density = 11.492 Mg/m³
volume = 19.6 A^3/atom
M_tot = 1.757 μB per atom

=====

SrCuAgSn2 | PBE-GGA | optimized geometry

Geometry as CIF:
```
data_SrCuAgSn2
_space_group_name_H-M_alt 'I -4 m 2'
_space_group_IT_number 119
_space_group_name_Hall 'I -4 -2'
_cell_length_a 4.685
_cell_length_b 4.685
_cell_length_c 11.356
_cell_angle_alpha 90.00
_cell_angle_beta 90.00
_cell_angle_gamma 90.00
loop_
_atom_site_label
_atom_site_type_symbol
_atom_site_fract_x
_atom_site_fract_y
_atom_site_fract_z
Sr1 Sr 0.000 0.000 0.000
Cu1 Cu 0.000 0.500 0.750
Ag1 Ag 0.000 0.500 0.250
Sn1 Sn 0.000 0.000 0.374
```

Properties
ΔE_f = -307 meV/atom
density = 6.615 Mg/m³
volume = 24.9 A^3/atom
M_tot = 0.000 μB per atom

=====

Pu4NbO10 | PBE-GGA | optimized geometry

Geometry as CIF:
```
data_Pu4NbO10
_space_group_name_H-M_alt 'R -3 m'
_space_group_IT_number 166
_space_group_name_Hall '-R 3 2"'
_cell_length_a 3.7615
_cell_length_b 3.7615
_cell_length_c 46.3666
_cell_angle_alpha 90.00
_cell_angle_beta 90.00
_cell_angle_gamma 120.00
loop_
_atom_site_label
_atom_site_type_symbol
_atom_site_fract_x
_atom_site_fract_y
_atom_site_fract_z
Pu1 Pu 0.0000 0.0000 0.1028
Pu2 Pu 0.0000 0.0000 0.2995
Nb1 Nb 0.0000 0.0000 0.5000
O1 O 0.0000 0.0000 0.0515
O2 O 0.0000 0.0000 0.1558
O3 O 0.0000 0.0000 0.2467
O4 O 0.0000 0.0000 0.3502
O5 O 0.0000 0.0000 0.4560
```

Properties
density = 10.775 Mg/m³
volume = 12.6 A^3/atom
E_form (uncorrected) = -2956 meV per atom
M_tot = 0.052 μB per atom

=====

CdGaSn | PBE-GGA | optimized geometry

Geometry as CIF:
```
data_CdGaSn
_space_group_name_H-M_alt 'F -4 3 m'
_space_group_IT_number 216
_space_group_name_Hall 'F -4 2 3'
_cell_length_a 6.743
_cell_length_b 6.743
_cell_length_c 6.743
_cell_angle_alpha 90.00
_cell_angle_beta 90.00
_cell_angle_gamma 90.00
loop_
_atom_site_label
_atom_site_type_symbol
_atom_site_fract_x
_atom_site_fract_y
_atom_site_fract_z
Cd1 Cd 0.000 0.000 0.000
Ga1 Ga 0.250 0.250 0.250
Sn1 Sn 0.000 0.000 0.500
```

Properties
ΔE_f = 80 meV/atom
density = 6.517 Mg/m³
volume = 25.6 A^3/atom
energy relative to the lowest polymorph listed for this composition = 48 meV/atom
M_tot = 0.000 μB per atom

=====

CsLi2GeS | PBE-GGA | optimized geometry

Geometry as CIF:
```
data_CsLi2GeS
_space_group_name_H-M_alt 'P 4/m m m'
_space_group_IT_number 123
_space_group_name_Hall '-P 4 2'
_cell_length_a 5.339
_cell_length_b 5.339
_cell_length_c 5.875
_cell_angle_alpha 90.00
_cell_angle_beta 90.00
_cell_angle_gamma 90.00
loop_
_atom_site_label
_atom_site_type_symbol
_atom_site_fract_x
_atom_site_fract_y
_atom_site_fract_z
Cs1 Cs 0.000 0.000 0.000
Li1 Li 0.000 0.500 0.000
Ge1 Ge 0.500 0.500 0.500
S1 S 0.000 0.000 0.500
```

Properties
density = 2.493 Mg/m³
volume = 33.5 A^3/atom
E_form (uncorrected) = 836 meV per atom
energy relative to the lowest polymorph listed for this composition = 0 meV/atom
M_tot = 0.000 μB per atom

=====

ReHgBi2 | PBE-GGA | optimized geometry

Geometry as CIF:
```
data_ReHgBi2
_space_group_name_H-M_alt 'I -4 2 d'
_space_group_IT_number 122
_space_group_name_Hall 'I -4 2bw'
_cell_length_a 6.749
_cell_length_b 6.749
_cell_length_c 12.626
_cell_angle_alpha 90.00
_cell_angle_beta 90.00
_cell_angle_gamma 90.00
loop_
_atom_site_label
_atom_site_type_symbol
_atom_site_fract_x
_atom_site_fract_y
_atom_site_fract_z
Re1 Re 0.000 0.000 0.000
Hg1 Hg 0.000 0.000 0.500
Bi1 Bi 0.189 0.250 0.125
```

Properties
ΔE_f = 935 meV/atom
density = 9.296 Mg/m³
volume = 35.9 A^3/atom
M_tot = 0.166 μB per atom

=====

DyPuBr6 | PBE-GGA | optimized geometry

Geometry as CIF:
```
data_DyPuBr6
_space_group_name_H-M_alt 'R -3'
_space_group_IT_number 148
_space_group_name_Hall '-R 3'
_cell_length_a 7.0986
_cell_length_b 7.0986
_cell_length_c 19.7915
_cell_angle_alpha 90.00
_cell_angle_beta 90.00
_cell_angle_gamma 120.00
loop_
_atom_site_label
_atom_site_type_symbol
_atom_site_fract_x
_atom_site_fract_y
_atom_site_fract_z
Dy1 Dy 0.0000 0.0000 0.0000
Pu1 Pu 0.0000 0.0000 0.5000
Br1 Br 0.0032 0.6573 0.7480
```

Properties
density = 5.110 Mg/m³
volume = 36.0 A^3/atom
E_form (uncorrected) = -1641 meV per atom
energy relative to the lowest polymorph listed for this composition = 19 meV/atom
M_tot = 0.625 μB per atom

=====

ZnTc2Os | PBE-GGA | optimized geometry

Geometry as CIF:
```
data_ZnTc2Os
_space_group_name_H-M_alt 'R 3 m'
_space_group_IT_number 160
_space_group_name_Hall 'R 3 -2"'
_cell_length_a 2.7492
_cell_length_b 2.7492
_cell_length_c 26.5601
_cell_angle_alpha 90.00
_cell_angle_beta 90.00
_cell_angle_gamma 120.00
loop_
_atom_site_label
_atom_site_type_symbol
_atom_site_fract_x
_atom_site_fract_y
_atom_site_fract_z
Zn1 Zn 0.0000 0.0000 0.0000
Tc1 Tc 0.0000 0.0000 0.4996
Tc2 Tc 0.0000 0.0000 0.7516
Os1 Os 0.0000 0.0000 0.2486
```

Properties
ΔE_f = 89 meV/atom
density = 12.941 Mg/m³
volume = 14.5 A^3/atom
M_tot = 0.000 μB per atom

=====

Sc2NiIr | PBE-GGA | optimized geometry

Geometry as CIF:
```
data_Sc2NiIr
_space_group_name_H-M_alt 'F m -3 m'
_space_group_IT_number 225
_space_group_name_Hall '-F 4 2 3'
_cell_length_a 6.414
_cell_length_b 6.414
_cell_length_c 6.414
_cell_angle_alpha 90.00
_cell_angle_beta 90.00
_cell_angle_gamma 90.00
loop_
_atom_site_label
_atom_site_type_symbol
_atom_site_fract_x
_atom_site_fract_y
_atom_site_fract_z
Sc1 Sc 0.250 0.250 0.250
Ni1 Ni 0.000 0.000 0.000
Ir1 Ir 0.000 0.000 0.500
```

Properties
ΔE_f = -801 meV/atom
density = 8.579 Mg/m³
volume = 16.5 A^3/atom
energy relative to the lowest polymorph listed for this composition = 0 meV/atom
M_tot = 0.000 μB per atom

=====

HoTmPdPb | PBE-GGA | optimized geometry

Geometry as CIF:
```
data_HoTmPdPb
_space_group_name_H-M_alt 'F -4 3 m'
_space_group_IT_number 216
_space_group_name_Hall 'F -4 2 3'
_cell_length_a 7.310
_cell_length_b 7.310
_cell_length_c 7.310
_cell_angle_alpha 90.00
_cell_angle_beta 90.00
_cell_angle_gamma 90.00
loop_
_atom_site_label
_atom_site_type_symbol
_atom_site_fract_x
_atom_site_fract_y
_atom_site_fract_z
Ho1 Ho 0.000 0.000 0.000
Tm1 Tm 0.000 0.000 0.500
Pd1 Pd 0.250 0.250 0.250
Pb1 Pb 0.250 0.250 0.750
```

Properties
ΔE_f = -616 meV/atom
density = 11.012 Mg/m³
volume = 24.4 A^3/atom
M_tot = 0.000 μB per atom

=====

GdMg2Pb | PBE-GGA | optimized geometry

Geometry as CIF:
```
data_GdMg2Pb
_space_group_name_H-M_alt 'P 4/m m m'
_space_group_IT_number 123
_space_group_name_Hall '-P 4 2'
_cell_length_a 3.580
_cell_length_b 3.580
_cell_length_c 8.395
_cell_angle_alpha 90.00
_cell_angle_beta 90.00
_cell_angle_gamma 90.00
loop_
_atom_site_label
_atom_site_type_symbol
_atom_site_fract_x
_atom_site_fract_y
_atom_site_fract_z
Gd1 Gd 0.000 0.000 0.000
Mg1 Mg 0.500 0.500 0.265
Pb1 Pb 0.000 0.000 0.500
```

Properties
ΔE_f = -122 meV/atom
density = 6.374 Mg/m³
volume = 26.9 A^3/atom
energy relative to the lowest polymorph listed for this composition = 191 meV/atom
M_tot = 1.907 μB per atom

=====

LiMoCl | PBE-GGA | optimized geometry

Geometry as CIF:
```
data_LiMoCl
_space_group_name_H-M_alt 'F -4 3 m'
_space_group_IT_number 216
_space_group_name_Hall 'F -4 2 3'
_cell_length_a 6.628
_cell_length_b 6.628
_cell_length_c 6.628
_cell_angle_alpha 90.00
_cell_angle_beta 90.00
_cell_angle_gamma 90.00
loop_
_atom_site_label
_atom_site_type_symbol
_atom_site_fract_x
_atom_site_fract_y
_atom_site_fract_z
Li1 Li 0.000 0.000 0.000
Mo1 Mo 0.250 0.250 0.250
Cl1 Cl 0.000 0.000 0.500
```

Properties
density = 3.156 Mg/m³
volume = 24.3 A^3/atom
E_form (uncorrected) = 976 meV per atom
energy relative to the lowest polymorph listed for this composition = 947 meV/atom
M_tot = 1.694 μB per atom

=====

Number 1: Fermi-level density of states 0.523 states/eV/atom. Number 2: Fermi-level density of states 0.514 states/eV/atom. Number 3: Fermi-level density of states 1.308 states/eV/atom. Number 4: Fermi-level density of states 0.709 states/eV/atom. Number 5: Fermi-level density of states 0.563 states/eV/atom. Number 6: Fermi-level density of states 0.592 states/eV/atom. Number 7: Fermi-level density of states 1.287 states/eV/atom. Number 8: Fermi-level density of states 1.474 states/eV/atom. Number 9: Fermi-level density of states 0.738 states/eV/atom. Number 10: Fermi-level density of states 0.472 states/eV/atom. Number 11: Fermi-level density of states 0.700 states/eV/atom. Number 12: Fermi-level density of states 0.675 states/eV/atom.